A relaxed Ca3DyPa3N8 crystal, computed with PBE-GGA.

Properties
The final energy is -380.40 eV for the cell shown. As for the energy relative to the elements, uncorrected: -1.41 eV per atom. The magnetization comes out at 0.000 μB/f.u.

a = 7.0740 Å, b = 7.0740 Å, c = 17.0797 Å
α = 90.00°, β = 90.00°, γ = 120.00°
Space group R-3m (No. 166, hexagonal axes)
Asymmetric unit:
Ca1 0.0000 0.5000 0.0000 [9 per cell]
Dy1 0.0000 0.0000 0.5000 [3 per cell]
Pa1 0.0000 0.5000 0.5000 [9 per cell]
N1 0.0000 0.0000 0.2421 [6 per cell]
N2 0.0079 0.5040 0.7685 [18 per cell]